Version w
Here is a relaxed structure of K2CrW from Alexandria. Energies are from PBE.

Calculated values
Total magnetic moment, μB/cell: 1.28
Symmetry: No. 122

Cell: 12.609 12.609 4.629 Å, 90.00 90.00 90.00°
Fractional coordinates of all 16 atoms:
K 0.085 0.750 0.125
K 0.250 0.085 0.875
K 0.250 0.415 0.375
K 0.415 0.750 0.625
K 0.585 0.250 0.625
K 0.750 0.585 0.375
K 0.750 0.915 0.875
K 0.915 0.250 0.125
Cr 0.000 0.000 0.000
Cr 0.000 0.500 0.250
Cr 0.500 0.000 0.750
Cr 0.500 0.500 0.500
W 0.000 0.000 0.500
W 0.000 0.500 0.750
W 0.500 0.000 0.250
W 0.500 0.500 0.000



Version x
Here is a relaxed structure of K2CrW from Alexandria. Energies are from PBE.

Calculated values
Total magnetic moment, μB/cell: 2.87
Symmetry: No. 47

Cell: 2.870 5.596 6.062 Å, 90.00 90.00 90.00°
Fractional coordinates of all 4 atoms:
K 0.000 0.249 0.000
K 0.000 0.751 0.000
Cr 0.500 0.500 0.500
W 0.500 0.000 0.500



Version y
Here is a relaxed structure of K2CrW from Alexandria. Energies are from PBE.

Calculated values
Total magnetic moment, μB/cell: 11.08
Symmetry: No. 166

Cell: 2.985 2.985 37.349 Å, 90.00 90.00 120.00°
Fractional coordinates of all 12 atoms:
K 0.000 0.000 0.249
K 0.000 0.000 0.751
K 0.333 0.667 0.418
K 0.333 0.667 0.915
K 0.667 0.333 0.085
K 0.667 0.333 0.582
Cr 0.000 0.000 0.000
Cr 0.333 0.667 0.667
Cr 0.667 0.333 0.333
W 0.000 0.000 0.500
W 0.333 0.667 0.167
W 0.667 0.333 0.833



Most stable structure among those shown: version y. Next: +71 meV/atom.